NbFe2RuF | PBE+U | optimized geometry

abc: 5.256 5.256 4.517
angles: 90.00 90.00 90.00
Space group P4/mmm (No. 123)
Asymmetric unit:
Nb1 0.000 0.000 0.000 [1 per cell]
Fe1 0.000 0.500 0.000 [2 per cell]
Ru1 0.000 0.000 0.500 [1 per cell]
F1 0.500 0.500 0.500 [1 per cell]

Properties
- density of states at the Fermi level (states/eV/f.u.) = 5.028
- final energy (eV per atom) = -5.068
- size of the total moment (μB per formula unit) = 6.9